Here is a relaxed Mn2CdSi crystal from the Alexandria database. Energies are from PBE-GGA.

a b c (Å): 8.2297 2.8115 5.2094
angles (deg): 90.00 100.62 90.00
With the nearest neighbours (Å) after each atom.
Space group C2/m (No. 12)
One atom of each set of equivalent atoms:
Mn  0.2387  0.0000  0.1823 (multiplicity 4)  2 Mn 2.40, 3 Si 2.46-2.51
Cd  0.0000  0.0000  0.5000 (multiplicity 2)  6 Mn 2.79-2.83, 2 Cd 2.81, 4 Si 2.96
Si  0.0000  0.5000  0.0000 (multiplicity 2)  6 Mn 2.46-2.51

## Properties
Energy above the lowest structure with this stoichiometry (meV/atom): 278.3
Uncorrected formation energy (kJ/mol of atoms): 28